Record 1
Na5HfS4: optimized geometry, PBE.

VASP energy = -4.40 eV/atom
symmetry = C2/m
crystal system = monoclinic
Fermi-level density of states = 2.49 states/eV/f.u.

Unit cell a=3.913 b=7.807 c=8.665 alpha=100.92 beta=103.05 gamma=90.00
Atoms (fractional coordinates):
Na  0.838  0.678  0.675
Na  0.823  0.141  0.646
Na  0.177  0.859  0.354
Na  0.500  0.500  0.000
Na  0.162  0.322  0.325
Hf  0.500  0.000  0.000
S  0.348  0.918  0.696
S  0.007  0.773  0.013
S  0.652  0.082  0.304
S  0.993  0.227  0.987

***

Record 2
NaSr2CaPd: optimized geometry, PBE.

VASP energy = -2.50 eV/atom
symmetry = P4/mmm
crystal system = tetragonal
calculated formation energy = -0.122 eV/atom
Fermi-level density of states = 3.08 states/eV/f.u.
ΔE to the lowest computed polymorph = 0.165 eV/atom

Unit cell a=5.912 b=5.912 c=5.780 alpha=90.00 beta=90.00 gamma=90.00
Atoms (fractional coordinates):
Sr  0.000  0.500  0.000
Sr  0.500  0.000  0.000
Ca  0.500  0.500  0.500
Pd  0.000  0.000  0.000
Na  0.000  0.000  0.500

***

Record 3
CsNaI2: optimized geometry, PBE.

VASP energy = -2.68 eV/atom
symmetry = R3m
crystal system = trigonal
Fermi-level density of states = 0.00 states/eV/f.u.
ΔE to the lowest computed polymorph = 0.010 eV/atom

Unit cell a=4.935 b=4.935 c=9.150 alpha=74.36 beta=74.36 gamma=60.00
Atoms (fractional coordinates):
Cs  0.499  0.499  0.503
Na  0.668  0.668  0.996
I  0.068  0.068  0.796
I  0.265  0.265  0.204

***

Record 4
Pd2PtRh6: optimized geometry, PBE.

VASP energy = -6.50 eV/atom
symmetry = C2/c
crystal system = monoclinic
calculated formation energy = 0.229 eV/atom
Fermi-level density of states = 16.75 states/eV/f.u.

Unit cell a=5.160 b=7.393 c=7.393 alpha=100.81 beta=96.74 gamma=96.74
Atoms (fractional coordinates):
Pd  0.127  0.378  0.343
Pd  0.373  0.657  0.622
Pd  0.873  0.622  0.657
Pd  0.627  0.343  0.378
Pt  0.250  0.904  0.096
Pt  0.750  0.096  0.904
Rh  0.513  0.344  0.737
Rh  0.987  0.263  0.656
Rh  0.487  0.656  0.263
Rh  0.013  0.737  0.344
Rh  0.700  0.928  0.550
Rh  0.800  0.450  0.072
Rh  0.300  0.072  0.450
Rh  0.200  0.550  0.928
Rh  0.324  0.247  0.034
Rh  0.176  0.966  0.753
Rh  0.676  0.753  0.966
Rh  0.824  0.034  0.247

***

Record 5
Be3Mo: optimized geometry, PBE.

VASP energy = -5.46 eV/atom
symmetry = P4/mmm
crystal system = tetragonal
calculated formation energy = 0.047 eV/atom
Fermi-level density of states = 1.55 states/eV/f.u.
ΔE to the lowest computed polymorph = 0.279 eV/atom

Unit cell a=2.647 b=2.647 c=5.813 alpha=90.00 beta=90.00 gamma=90.00
Atoms (fractional coordinates):
Be  0.000  0.000  0.950
Be  0.500  0.500  0.750
Be  0.000  0.000  0.550
Mo  0.500  0.500  0.250

***

Record 6
LaNd4Sc2: optimized geometry, PBE.

VASP energy = -5.02 eV/atom
symmetry = C2/c
crystal system = monoclinic
calculated formation energy = 0.216 eV/atom
Fermi-level density of states = 10.03 states/eV/f.u.
ΔE to the lowest computed polymorph = 0.043 eV/atom

Unit cell a=8.092 b=8.092 c=16.791 alpha=92.03 beta=92.03 gamma=154.57
Atoms (fractional coordinates):
La  0.944  0.056  0.250
La  0.056  0.944  0.750
Nd  0.310  0.161  0.426
Nd  0.759  0.155  0.080
Nd  0.845  0.241  0.420
Nd  0.839  0.690  0.074
Nd  0.161  0.310  0.926
Nd  0.155  0.759  0.580
Nd  0.241  0.845  0.920
Nd  0.690  0.839  0.574
Sc  0.381  0.619  0.750
Sc  0.732  0.268  0.750
Sc  0.619  0.381  0.250
Sc  0.268  0.732  0.250

***

Record 7
Na2MgIn10: optimized geometry, PBE.

VASP energy = -2.36 eV/atom
symmetry = Pbam
crystal system = orthorhombic
calculated formation energy = 0.072 eV/atom
Fermi-level density of states = 4.23 states/eV/f.u.

Unit cell a=6.408 b=7.056 c=19.728 alpha=90.00 beta=90.00 gamma=90.00
Atoms (fractional coordinates):
Na  0.500  0.185  0.911
Na  0.500  0.815  0.089
Na  0.500  0.685  0.589
Na  0.500  0.315  0.411
Mg  0.000  0.500  0.500
Mg  0.000  0.000  0.000
In  0.000  0.146  0.428
In  0.000  0.854  0.572
In  0.000  0.646  0.072
In  0.000  0.354  0.928
In  0.000  0.085  0.702
In  0.000  0.915  0.298
In  0.276  0.297  0.071
In  0.276  0.703  0.929
In  0.724  0.797  0.429
In  0.724  0.203  0.571
In  0.724  0.703  0.929
In  0.724  0.297  0.071
In  0.276  0.203  0.571
In  0.276  0.797  0.429
In  0.000  0.008  0.154
In  0.000  0.992  0.846
In  0.000  0.508  0.346
In  0.000  0.492  0.654
In  0.000  0.415  0.202
In  0.000  0.585  0.798

***

Record 8
SrEu3H: optimized geometry, PBE.

VASP energy = -7.29 eV/atom
symmetry = Pm-3m
crystal system = cubic
Fermi-level density of states = 12.56 states/eV/f.u.

Unit cell a=5.521 b=5.521 c=5.521 alpha=90.00 beta=90.00 gamma=90.00
Last column: magnetic moment on the atom in μB.
Atoms (fractional coordinates):
Eu  0.000  0.500  0.000  7.02
Eu  0.000  0.000  0.500  7.02
Eu  0.500  0.000  0.000  7.02
Sr  0.500  0.500  0.500  0.09
H  0.000  0.000  0.000  -0.02

***

Record 9
AlSb2Pb: optimized geometry, PBE.

VASP energy = -3.70 eV/atom
symmetry = Pmmm
crystal system = orthorhombic
Fermi-level density of states = 1.85 states/eV/f.u.
ΔE to the lowest computed polymorph = 0.178 eV/atom

Unit cell a=4.064 b=4.963 c=5.310 alpha=90.00 beta=90.00 gamma=90.00
Atoms (fractional coordinates):
Pb  0.000  0.500  0.500
Sb  0.000  0.000  0.000
Sb  0.500  0.500  0.000
Al  0.500  0.000  0.500

***

Record 10
AcInPb2: optimized geometry, PBE.

VASP energy = -3.81 eV/atom
symmetry = P4/mmm
crystal system = tetragonal
calculated formation energy = -0.239 eV/atom
Fermi-level density of states = 3.28 states/eV/f.u.

Unit cell a=4.204 b=4.204 c=7.303 alpha=90.00 beta=90.00 gamma=90.00
Atoms (fractional coordinates):
Pb  0.000  0.000  0.783
Pb  0.000  0.000  0.217
Ac  0.500  0.500  0.500
In  0.500  0.500  0.000

***

Record 11
Pm8Ag2Os: optimized geometry, PBE.

VASP energy = -4.97 eV/atom
symmetry = Immm
crystal system = orthorhombic
calculated formation energy = 0.020 eV/atom
Fermi-level density of states = 12.27 states/eV/f.u.
ΔE to the lowest computed polymorph = 0.122 eV/atom

Unit cell a=5.069 b=8.623 c=8.760 alpha=119.48 beta=106.82 gamma=90.00
Atoms (fractional coordinates):
Pm  0.653  0.888  0.307
Pm  0.347  0.581  0.693
Pm  0.120  0.120  0.240
Pm  0.000  0.333  0.000
Pm  0.880  0.880  0.760
Pm  0.653  0.419  0.307
Pm  0.347  0.112  0.693
Pm  0.000  0.667  0.000
Ag  0.198  0.698  0.397
Ag  0.802  0.302  0.603
Os  0.500  0.000  0.000

***

Record 12
TcAs2WBr: optimized geometry, PBE.

VASP energy = -5.48 eV/atom
symmetry = P4/mmm
crystal system = tetragonal
Fermi-level density of states = 4.14 states/eV/f.u.
ΔE to the lowest computed polymorph = 0.165 eV/atom

Unit cell a=4.717 b=4.717 c=5.280 alpha=90.00 beta=90.00 gamma=90.00
Last column: magnetic moment on the atom in μB.
Atoms (fractional coordinates):
As  0.000  0.500  0.000  -0.11
As  0.500  0.000  0.000  -0.11
Br  0.000  0.000  0.500  -0.04
Tc  0.000  0.000  0.000  0.33
W  0.500  0.500  0.500  3.11

***

Copy entry 3 word for word.
CsNaI2: optimized geometry, PBE.

VASP energy = -2.68 eV/atom
symmetry = R3m
crystal system = trigonal
Fermi-level density of states = 0.00 states/eV/f.u.
ΔE to the lowest computed polymorph = 0.010 eV/atom

Unit cell a=4.935 b=4.935 c=9.150 alpha=74.36 beta=74.36 gamma=60.00
Atoms (fractional coordinates):
Cs  0.499  0.499  0.503
Na  0.668  0.668  0.996
I  0.068  0.068  0.796
I  0.265  0.265  0.204